# 1
VASP calculation (PBE) on an optimized crystal structure of Tb4PrEr5.

Summary:
E_form, eV/f.u.: 3.02
Space group: I4 (79)

Cell and atoms, written as extended XYZ:
```
10
Lattice="-4.128 3.501 -3.138 -7.343 -2.813 0.286 -3.315 5.621 4.396" Properties=species:S:1:pos:R:3 pbc="T T T"
Er -2.810 2.383 -2.136
Er -5.237 -0.924 0.267
Er -4.851 4.388 -0.551
Er -9.122 6.872 1.602
Er -9.508 1.559 2.419
Tb -7.475 1.766 -0.091
Tb -6.928 4.219 1.926
Tb -10.446 4.214 0.311
Tb -3.958 1.770 1.524
Pr -0.916 0.776 -0.696
```

# 2
VASP calculation (PBE) on an optimized crystal structure of BaSr3Sc.

Summary:
E_form, eV/f.u.: 5.04
Space group: Pm-3m (221)

Cell and atoms, written as extended XYZ:
```
5
Lattice="-5.527 0.239 -2.807 2.546 -2.221 -5.203 -1.205 -5.787 1.881" Properties=species:S:1:pos:R:3 pbc="T T T"
Sr -0.602 -2.894 0.940
Sr 1.273 -1.110 -2.601
Sr -2.763 0.119 -1.403
Sc -2.093 -3.885 -3.064
Ba 0.000 0.000 0.000
```

E, record by record: -4.3093, -1.6512 eV per atom